No. 1
# ErPaIr2

A geometry-optimized ErPaIr2 structure (PBE, Alexandria).

For the excess energy over the best structure of this formula in the dataset, the calculation gives 0.070 eV/atom.

It has space group R-3m (No. 166, hexagonal axes), with a = 3.9251 Å, b = 3.9251 Å, c = 20.1753 Å, α = 90.00°, β = 90.00° and γ = 120.00°. The inequivalent atoms are Er at (0.0000, 0.0000, 0.0000), Pa at (0.0000, 0.0000, 0.5000) and Ir at (0.0000, 0.0000, 0.2456).



No. 2
# ErPaIr2

A geometry-optimized ErPaIr2 structure (PBE, Alexandria).

For the excess energy over the best structure of this formula in the dataset, the calculation gives 0.000 eV/atom.

It has space group P2/c (No. 13), with a = 5.5465 Å, b = 5.5622 Å, c = 11.5022 Å, α = 90.00°, β = 106.32° and γ = 90.00°. The inequivalent atoms are Er at (0.1965, 0.1337, 0.1459), Pa at (0.3140, 0.3609, 0.8622), Ir at (0.1645, 0.3680, 0.6034) and Ir at (0.3352, 0.1491, 0.4119).



No. 3
# ErPa2Ir2

A geometry-optimized ErPa2Ir2 structure (PBE, Alexandria).

It has space group P4/mbm (No. 127), with a = 7.7990 Å, b = 7.7990 Å, c = 3.6829 Å, α = 90.00°, β = 90.00° and γ = 90.00°. The inequivalent atoms are Er at (0.0000, 0.0000, 0.0000), Pa at (0.1690, 0.3310, 0.5000) and Ir at (0.1357, 0.6357, 0.0000).



No. 4
# ErPaIr

A geometry-optimized ErPaIr structure (PBE, Alexandria).

For the excess energy over the best structure of this formula in the dataset, the calculation gives 0.135 eV/atom.

It has space group F-43m (No. 216), with a = 6.7578 Å, b = 6.7578 Å, c = 6.7578 Å, α = 90.00°, β = 90.00° and γ = 90.00°. The inequivalent atoms are Er at (0.0000, 0.0000, 0.0000), Pa at (0.0000, 0.0000, 0.5000) and Ir at (0.2500, 0.2500, 0.2500).



No. 5
# Er2PaIr3

A geometry-optimized Er2PaIr3 structure (PBE, Alexandria).

For the excess energy over the best structure of this formula in the dataset, the calculation gives 0.020 eV/atom.

It has space group C2/c (No. 15), with a = 13.8638 Å, b = 5.5557 Å, c = 6.7292 Å, α = 90.00°, β = 103.07° and γ = 90.00°. The inequivalent atoms are Er at (0.1800, 0.1006, 0.1405), Pa at (0.0000, 0.3692, 0.7500), Ir at (0.0000, 0.1056, 0.2500) and Ir at (0.1514, 0.3990, 0.5087).



No. 6
# ErPaIr

A geometry-optimized ErPaIr structure (PBE, Alexandria).

For the excess energy over the best structure of this formula in the dataset, the calculation gives 0.265 eV/atom.

It has space group P3m1 (No. 156), with a = 4.6119 Å, b = 4.6119 Å, c = 3.7279 Å, α = 90.00°, β = 90.00° and γ = 120.00°. The inequivalent atoms are Er at (0.0000, 0.0000, 0.0000), Pa at (0.6667, 0.3333, 0.5830) and Ir at (0.3333, 0.6667, 0.3221).



No. 7
# ErPaIr2

A geometry-optimized ErPaIr2 structure (PBE, Alexandria).

For the excess energy over the best structure of this formula in the dataset, the calculation gives 0.167 eV/atom.

It has space group Fm-3m (No. 225), with a = 6.8849 Å, b = 6.8849 Å, c = 6.8849 Å, α = 90.00°, β = 90.00° and γ = 90.00°. The inequivalent atoms are Er at (0.0000, 0.0000, 0.0000), Pa at (0.0000, 0.0000, 0.5000) and Ir at (0.2500, 0.2500, 0.2500).



No. 8
# Er5PaIr4

A geometry-optimized Er5PaIr4 structure (PBE, Alexandria).

It has space group Immm (No. 71), with a = 4.1021 Å, b = 7.4775 Å, c = 16.4337 Å, α = 90.00°, β = 90.00° and γ = 90.00°. The inequivalent atoms are Er at (0.0000, 0.0000, 0.0000), Er at (0.0000, 0.2435, 0.3331), Pa at (0.0000, 0.5000, 0.0000), Ir at (0.0000, 0.2462, 0.5000) and Ir at (0.0000, 0.5000, 0.1947).



Computed E_form, in the same sequence as the records: -0.833 -0.903 -0.734 -0.379 -0.814 -0.249 -0.737 -0.746 eV per atom.
Computed uncorrected energy, in the same sequence as the records: -35.113 -35.394 -44.946 -24.057 -50.087 -23.666 -34.727 -75.213 eV per formula unit.